RbCu3Os: optimized geometry, PBE.

Output
- Formation energy: 0.9990 eV per atom
- Volume: 114.7 Å³/cell
- DFT total energy: -3.90 eV/atom
- Magnetic moment: 1.8 μB/f.u.

The structure in CIF format:
```
data_RbCu3Os
_chemical_formula_sum 'Rb1 Cu3 Os1'
_symmetry_space_group_name_H-M 'P m -3 m'
_symmetry_Int_Tables_number 221
_symmetry_space_group_name_Hall '-P 4 2 3'
_cell_length_a 4.859
_cell_length_b 4.859
_cell_length_c 4.859
_cell_angle_alpha 90.00
_cell_angle_beta 90.00
_cell_angle_gamma 90.00
loop_
_atom_site_label
_atom_site_fract_x
_atom_site_fract_y
_atom_site_fract_z
_atom_site_occupancy
Rb1 0.000 0.000 0.000 1
Cu1 0.000 0.500 0.500 1
Os1 0.500 0.500 0.500 1
```